## K2NiMo (GGA-PBE)

Data for an optimized crystal structure of K2NiMo.

Output
* relative energy among the computed polymorphs: 492 meV/atom
* mass density: 4536 kg/m³

abc: 2.8068 2.8068 11.4506
angles: 90.00 90.00 109.10
Closest atoms and distances in Å follow each position.
Fractional coordinates of all 4 atoms:
Mo: 0.5000 0.5000 0.2500  4 Mo 2.81
K: 0.0000 0.0000 0.5224  4 K 2.81, 2 Ni 3.07
Ni: 0.5000 0.5000 0.7500  4 Ni 2.81, 4 K 3.07
K: 0.0000 0.0000 0.9776  4 K 2.81, 2 Ni 3.07



## KNi2Mo (GGA-PBE)

Data for an optimized crystal structure of KNi2Mo.

Output
* relative energy among the computed polymorphs: 929 meV/atom
* mass density: 6252 kg/m³

abc: 2.6483 5.3882 4.6987
angles: 90.00 90.00 90.00
Closest atoms and distances in Å follow each position.
Fractional coordinates of all 4 atoms:
Ni: 0.0000 0.0000 0.0000  2 Ni 2.65, 4 K 2.70
K: 0.5000 0.0000 0.5000  2 K 2.65, 4 Ni 2.70
Ni: 0.5000 0.5000 0.0000  2 Ni 2.65, 4 Mo 2.70
Mo: 0.0000 0.5000 0.5000  2 Mo 2.65, 4 Ni 2.70



## K2NiMo (GGA-PBE)

Data for an optimized crystal structure of K2NiMo.

Output
* relative energy among the computed polymorphs: 784 meV/atom
* mass density: 3264 kg/m³

abc: 4.5604 4.5604 5.6962
angles: 90.00 90.00 90.00
Closest atoms and distances in Å follow each position.
Fractional coordinates of all 4 atoms:
K: 0.0000 0.0000 0.9926  2 K 2.76-2.93
Ni: 0.5000 0.5000 0.7500  2 Mo 2.85
Mo: 0.5000 0.5000 0.2500  2 Ni 2.85
K: 0.0000 0.0000 0.5074  2 K 2.76-2.93



## KNi2Mo (GGA-PBE)

Data for an optimized crystal structure of KNi2Mo.

Output
* relative energy among the computed polymorphs: 794 meV/atom
* mass density: 6293 kg/m³

abc: 4.5500 4.5500 4.5500
angles: 60.00 60.00 60.00
Closest atoms and distances in Å follow each position.
Fractional coordinates of all 4 atoms:
Ni: 0.2500 0.2500 0.2500  4 Mo 2.79, 4 K 2.79
K: 0.0000 0.0000 0.0000  8 Ni 2.79
Ni: 0.7500 0.7500 0.7500  4 Mo 2.79, 4 K 2.79
Mo: 0.5000 0.5000 0.5000  8 Ni 2.79



## KNi2Mo (GGA-PBE)

Data for an optimized crystal structure of KNi2Mo.

Output
* relative energy among the computed polymorphs: 249 meV/atom
* mass density: 6206 kg/m³

abc: 2.7099 2.7099 9.1978
angles: 90.00 90.00 90.06
Closest atoms and distances in Å follow each position.
Fractional coordinates of all 4 atoms:
Mo: 0.5000 0.5000 0.8261  4 Ni 2.61, 4 Mo 2.71
K: 0.0000 0.0000 0.4668  4 K 2.71
Ni: 0.5000 0.5000 0.1877  8 Ni 2.46-2.71
Ni: 0.0000 0.0000 0.0194  8 Ni 2.46-2.71, 4 Mo 2.61



## KNi2Mo (GGA-PBE)

Data for an optimized crystal structure of KNi2Mo.

Output
* relative energy among the computed polymorphs: 0 meV/atom
* mass density: 5638 kg/m³

abc: 3.0962 3.0962 7.7561
angles: 90.00 90.00 90.00
Closest atoms and distances in Å follow each position.
Fractional coordinates of all 4 atoms:
Ni: 0.0000 0.0000 0.9134  4 Mo 2.53, 1 Ni 2.53
Ni: 0.0000 0.0000 0.5866  4 Mo 2.53, 1 Ni 2.53
K: 0.5000 0.5000 0.2500  4 K 3.10, 8 Ni 3.41
Mo: 0.5000 0.5000 0.7500  8 Ni 2.53



## KNi3Mo (GGA-PBE)

Data for an optimized crystal structure of KNi3Mo.

Output
* relative energy among the computed polymorphs: 0 meV/atom
* mass density: 5077 kg/m³

abc: 4.6685 4.6685 4.6685
angles: 90.00 90.00 90.00
Closest atoms and distances in Å follow each position.
Fractional coordinates of all 5 atoms:
K: 0.5000 0.5000 0.5000  12 Ni 3.30
Mo: 0.0000 0.0000 0.0000  6 Ni 2.33
Ni: 0.0000 0.0000 0.5000  2 Mo 2.33
Ni: 0.5000 0.0000 0.0000  2 Mo 2.33
Ni: 0.0000 0.5000 0.0000  2 Mo 2.33



## K2NiMo (GGA-PBE)

Data for an optimized crystal structure of K2NiMo.

Output
* relative energy among the computed polymorphs: 684 meV/atom
* mass density: 4464 kg/m³

abc: 6.4084 6.4084 6.4084
angles: 144.89 144.89 50.50
Closest atoms and distances in Å follow each position.
Fractional coordinates of all 4 atoms:
Mo: 0.2500 0.7500 0.5000  4 Ni 2.73
K: 0.0000 0.0000 0.0000  4 K 2.73
K: 0.5000 0.5000 0.0000  4 K 2.73
Ni: 0.7500 0.2500 0.5000  4 Mo 2.73



## K2NiMo (GGA-PBE)

Data for an optimized crystal structure of K2NiMo.

Output
* relative energy among the computed polymorphs: 633 meV/atom
* mass density: 4405 kg/m³

abc: 6.3845 6.3845 2.7467
angles: 90.00 90.00 128.38
Closest atoms and distances in Å follow each position.
Fractional coordinates of all 4 atoms:
K: 0.0000 0.0000 0.0000  4 K 2.75-2.78
Mo: 0.5000 0.0000 0.5000  2 Mo 2.75, 2 Ni 2.78
Ni: 0.0000 0.5000 0.5000  2 Ni 2.75, 2 Mo 2.78
K: 0.5000 0.5000 0.0000  4 K 2.75-2.78



## K2NiMo (GGA-PBE)

Data for an optimized crystal structure of K2NiMo.

Output
* relative energy among the computed polymorphs: 590 meV/atom
* mass density: 4611 kg/m³

abc: 5.1474 6.5191 2.7822
angles: 79.40 85.74 112.27
Closest atoms and distances in Å follow each position.
Fractional coordinates of all 4 atoms:
K: 0.5000 0.0000 0.5000  6 K 2.78-3.02
Ni: 0.5000 0.5000 0.0000  2 Ni 2.78, 4 Mo 2.83-3.02
K: 0.0000 0.0000 0.0000  6 K 2.78-3.02
Mo: 0.0000 0.5000 0.5000  2 Mo 2.78, 4 Ni 2.83-3.02



## KNi2Mo (GGA-PBE)

Data for an optimized crystal structure of KNi2Mo.

Output
* relative energy among the computed polymorphs: 124 meV/atom
* mass density: 5367 kg/m³

abc: 4.3192 4.3192 7.1731
angles: 86.74 86.74 35.78
Closest atoms and distances in Å follow each position.
Fractional coordinates of all 4 atoms:
K: 0.2500 0.2500 0.2500  2 K 2.65
Ni: 0.4921 0.4921 0.6031  3 Mo 2.42-2.57, 4 Ni 2.50-2.65
Mo: 0.7500 0.7500 0.7500  6 Ni 2.42-2.57, 2 Mo 2.65
Ni: 0.0079 0.0079 0.8969  3 Mo 2.42-2.57, 4 Ni 2.50-2.65



## KNi2Mo (GGA-PBE)

Data for an optimized crystal structure of KNi2Mo.

Output
* relative energy among the computed polymorphs: 921 meV/atom
* mass density: 6834 kg/m³

abc: 4.4266 4.4266 4.4266
angles: 60.00 60.00 60.00
Closest atoms and distances in Å follow each position.
Fractional coordinates of all 4 atoms:
Ni: 0.0000 0.0000 0.0000  4 Ni 2.71, 4 Mo 2.71
Mo: 0.7500 0.7500 0.7500  4 K 2.71, 4 Ni 2.71
Ni: 0.2500 0.2500 0.2500  4 K 2.71, 4 Ni 2.71
K: 0.5000 0.5000 0.5000  4 Mo 2.71, 4 Ni 2.71



## K2NiMo (GGA-PBE)

Data for an optimized crystal structure of K2NiMo.

Output
* relative energy among the computed polymorphs: 89 meV/atom
* mass density: 3266 kg/m³

abc: 4.3628 4.3628 10.2307
angles: 88.47 88.47 37.45
Closest atoms and distances in Å follow each position.
Fractional coordinates of all 4 atoms:
K: 0.0150 0.0150 0.9061  2 K 2.80
K: 0.2445 0.2445 0.3354  2 K 2.80
Ni: 0.7527 0.7527 0.6670  3 Mo 2.34-2.50
Mo: 0.4878 0.4878 0.5916  3 Ni 2.34-2.50



## KNi2Mo (GGA-PBE)

Data for an optimized crystal structure of KNi2Mo.

Output
* relative energy among the computed polymorphs: 245 meV/atom
* mass density: 6394 kg/m³

abc: 9.7436 9.7436 9.7436
angles: 16.56 16.56 16.56
Closest atoms and distances in Å follow each position.
Fractional coordinates of all 4 atoms:
Ni: 0.0129 0.0129 0.0129  3 Mo 2.60, 6 Ni 2.81
K: 0.2500 0.2500 0.2500  6 K 2.81
Ni: 0.4871 0.4871 0.4871  3 Mo 2.60, 6 Ni 2.81
Mo: 0.7500 0.7500 0.7500  6 Ni 2.60, 6 Mo 2.81



## KNi2Mo (GGA-PBE)

Data for an optimized crystal structure of KNi2Mo.

Output
* relative energy among the computed polymorphs: 385 meV/atom
* mass density: 6326 kg/m³

abc: 5.8948 5.8948 5.8948
angles: 154.65 130.57 56.35
Closest atoms and distances in Å follow each position.
Fractional coordinates of all 4 atoms:
Ni: 0.9964 0.9964 0.0000  4 Ni 2.52-2.59, 2 Mo 2.56, 4 K 2.79
K: 0.5059 0.5059 0.0000  2 K 2.59, 4 Ni 2.79
Mo: 0.2091 0.7091 0.5000  2 Ni 2.56, 2 Mo 2.59
Ni: 0.7886 0.2886 0.5000  4 Ni 2.52-2.59



## KNi2Mo (GGA-PBE)

Data for an optimized crystal structure of KNi2Mo.

Output
* relative energy among the computed polymorphs: 747 meV/atom
* mass density: 4756 kg/m³

abc: 7.2033 7.2033 6.1225
angles: 53.97 53.97 90.00
Closest atoms and distances in Å follow each position.
Fractional coordinates of all 8 atoms:
K: 0.2500 0.7500 0.5000  8 Ni 3.12-3.34, 2 Mo 3.40
K: 0.5000 0.5000 0.0000  8 Ni 3.12-3.34, 2 Mo 3.40
Mo: 0.7500 0.2500 0.5000  4 Ni 2.33
Mo: 0.0000 0.0000 0.0000  4 Ni 2.33
Ni: 0.3750 0.2921 0.7500  2 Mo 2.33
Ni: 0.7079 0.1250 0.2500  2 Mo 2.33
Ni: 0.0421 0.6250 0.2500  2 Mo 2.33
Ni: 0.8750 0.9579 0.7500  2 Mo 2.33



## K2NiMo (GGA-PBE)

Data for an optimized crystal structure of K2NiMo.

Output
* relative energy among the computed polymorphs: 441 meV/atom
* mass density: 2229 kg/m³

abc: 12.3256 12.3256 9.0097
angles: 46.84 46.84 90.00
Closest atoms and distances in Å follow each position.
Fractional coordinates of all 8 atoms:
Mo: 0.7500 0.2500 0.5000  2 Ni 2.28
Ni: 0.5000 0.5000 0.0000  2 Mo 2.28
K: 0.3039 0.6250 0.2500  2 Ni 3.25, 2 Mo 3.63
Mo: 0.0000 0.0000 0.0000  2 Ni 2.28
K: 0.3750 0.5539 0.7500  2 Ni 3.25, 2 Mo 3.63
K: 0.8750 0.6961 0.7500  2 Ni 3.25, 2 Mo 3.63
Ni: 0.2500 0.7500 0.5000  2 Mo 2.28
K: 0.4461 0.1250 0.2500  2 Ni 3.25, 2 Mo 3.63



## KNi2Mo (GGA-PBE)

Data for an optimized crystal structure of KNi2Mo.

Output
* relative energy among the computed polymorphs: 190 meV/atom
* mass density: 5568 kg/m³

abc: 2.6358 3.6297 7.8689
angles: 90.00 90.00 90.00
Closest atoms and distances in Å follow each position.
Fractional coordinates of all 4 atoms:
K: 0.0000 0.0000 0.4708  2 K 2.64
Ni: 0.5000 0.5000 0.1590  1 Mo 2.38, 6 Ni 2.52-2.64
Mo: 0.5000 0.5000 0.8568  5 Ni 2.38-2.56, 2 Mo 2.64
Ni: 0.0000 0.0000 0.0134  6 Ni 2.52-2.64, 4 Mo 2.56



## K2NiMo (GGA-PBE)

Data for an optimized crystal structure of K2NiMo.

Output
* relative energy among the computed polymorphs: 523 meV/atom
* mass density: 4375 kg/m³

abc: 2.8005 2.8005 11.2675
angles: 90.00 90.00 90.00
Closest atoms and distances in Å follow each position.
Fractional coordinates of all 4 atoms:
K: 0.0000 0.0000 0.5227  4 K 2.80
Ni: 0.5000 0.5000 0.7500  4 Ni 2.80
K: 0.0000 0.0000 0.9773  4 K 2.80
Mo: 0.5000 0.5000 0.2500  4 Mo 2.80



## K2NiMo (GGA-PBE)

Data for an optimized crystal structure of K2NiMo.

Output
* relative energy among the computed polymorphs: 607 meV/atom
* mass density: 4626 kg/m³

abc: 2.8756 4.9275 5.8982
angles: 90.00 90.00 90.00
Closest atoms and distances in Å follow each position.
Fractional coordinates of all 4 atoms:
K: 0.0000 0.0000 0.0000  6 K 2.85-2.88
K: 0.5000 0.5000 0.0000  6 K 2.85-2.88
Ni: 0.0000 0.5000 0.5000  4 Mo 2.85, 2 Ni 2.88
Mo: 0.5000 0.0000 0.5000  4 Ni 2.85, 2 Mo 2.88



## K2NiMo (GGA-PBE)

Data for an optimized crystal structure of K2NiMo.

Output
* relative energy among the computed polymorphs: 299 meV/atom
* mass density: 3161 kg/m³

abc: 7.1284 7.1284 7.1284
angles: 153.77 129.76 57.55
Closest atoms and distances in Å follow each position.
Fractional coordinates of all 4 atoms:
Mo: 0.4265 0.4265 0.0000  2 Ni 2.33
K: 0.7390 0.2390 0.5000  2 K 3.23, 4 Ni 3.50
K: 0.0421 0.0421 0.0000  2 K 3.23, 2 Ni 3.52
Ni: 0.2924 0.7924 0.5000  2 Mo 2.33



## KNi2Mo (GGA-PBE)

Data for an optimized crystal structure of KNi2Mo.

Output
* relative energy among the computed polymorphs: 698 meV/atom
* mass density: 5145 kg/m³

abc: 5.8418 5.8418 5.8418
angles: 151.63 119.60 68.05
Closest atoms and distances in Å follow each position.
Fractional coordinates of all 4 atoms:
K: 0.7500 0.2500 0.5000  2 K 2.86
Ni: 0.0527 0.0527 0.0000  2 Mo 2.39
Mo: 0.2500 0.7500 0.5000  4 Ni 2.39
Ni: 0.4473 0.4473 0.0000  2 Mo 2.39



## KNi2Mo (GGA-PBE)

Data for an optimized crystal structure of KNi2Mo.

Output
* relative energy among the computed polymorphs: 425 meV/atom
* mass density: 6513 kg/m³

abc: 7.4946 4.9629 2.6131
angles: 90.03 69.55 131.54
Closest atoms and distances in Å follow each position.
Fractional coordinates of all 4 atoms:
Ni: 0.5000 0.0000 0.5000  2 Ni 2.61, 4 Mo 2.80, 4 K 2.80
Mo: 0.5000 0.5000 0.0000  2 Mo 2.61, 8 Ni 2.80
K: 0.0000 0.5000 0.5000  2 K 2.61, 8 Ni 2.80
Ni: 0.0000 0.0000 0.0000  2 Ni 2.61, 4 K 2.80, 4 Mo 2.80



## K2NiMo (GGA-PBE)

Data for an optimized crystal structure of K2NiMo.

Output
* relative energy among the computed polymorphs: 708 meV/atom
* mass density: 3654 kg/m³

abc: 5.3089 5.3089 5.3089
angles: 60.00 60.00 60.00
Closest atoms and distances in Å follow each position.
Fractional coordinates of all 4 atoms:
Mo: 0.5000 0.5000 0.5000  4 Ni 3.25, 4 K 3.25
K: 0.0000 0.0000 0.0000  4 K 3.25, 4 Ni 3.25
K: 0.2500 0.2500 0.2500  4 Mo 3.25, 4 K 3.25
Ni: 0.7500 0.7500 0.7500  4 K 3.25, 4 Mo 3.25



## K2NiMo (GGA-PBE)

Data for an optimized crystal structure of K2NiMo.

Output
* relative energy among the computed polymorphs: 918 meV/atom
* mass density: 3087 kg/m³

abc: 5.6159 5.6159 5.6159
angles: 60.00 60.00 60.00
Closest atoms and distances in Å follow each position.
Fractional coordinates of all 4 atoms:
K: 0.7500 0.7500 0.7500  4 Mo 3.44, 4 Ni 3.44
Mo: 0.5000 0.5000 0.5000  8 K 3.44
Ni: 0.0000 0.0000 0.0000  8 K 3.44
K: 0.2500 0.2500 0.2500  4 Mo 3.44, 4 Ni 3.44



## KNi2Mo (GGA-PBE)

Data for an optimized crystal structure of KNi2Mo.

Output
* relative energy among the computed polymorphs: 253 meV/atom
* mass density: 5319 kg/m³

abc: 4.5899 4.5899 6.6852
angles: 84.09 84.09 34.25
Closest atoms and distances in Å follow each position.
Fractional coordinates of all 4 atoms:
K: 0.4903 0.4903 0.5249  2 K 2.70
Ni: 0.0106 0.0106 0.0158  4 Ni 2.48-2.70, 3 Mo 2.48-2.53
Mo: 0.2788 0.2788 0.1206  5 Ni 2.42-2.53, 2 Mo 2.70
Ni: 0.7202 0.7202 0.8387  2 Mo 2.42, 4 Ni 2.48-2.70



## KNi4Mo (GGA-PBE)

Data for an optimized crystal structure of KNi4Mo.

Output
* total DFT energy (no corrections): -30.8 eV for the cell shown
* mass density: 7226 kg/m³

abc: 4.9349 4.9349 4.9349
angles: 60.00 60.00 60.00
Closest atoms and distances in Å follow each position.
Fractional coordinates of all 6 atoms:
K: 0.7500 0.7500 0.7500  12 Ni 2.90, 4 Mo 3.02
Mo: 0.0000 0.0000 0.0000  12 Ni 2.89, 4 K 3.02
Ni: 0.3738 0.3738 0.3738  6 Ni 2.44-2.49
Ni: 0.3738 0.8785 0.3738  6 Ni 2.44-2.49
Ni: 0.3738 0.3738 0.8785  6 Ni 2.44-2.49
Ni: 0.8785 0.3738 0.3738  6 Ni 2.44-2.49



## K2NiMo (GGA-PBE)

Data for an optimized crystal structure of K2NiMo.

Output
* relative energy among the computed polymorphs: 511 meV/atom
* mass density: 4569 kg/m³

abc: 11.6577 11.6577 11.6577
angles: 14.34 14.34 14.34
Closest atoms and distances in Å follow each position.
Fractional coordinates of all 4 atoms:
K: 0.0067 0.0067 0.0067  6 K 2.91, 3 Ni 3.14
Ni: 0.7500 0.7500 0.7500  6 Ni 2.91, 6 K 3.14
Mo: 0.2500 0.2500 0.2500  6 Mo 2.91
K: 0.4933 0.4933 0.4933  6 K 2.91, 3 Ni 3.14



## K2NiMo (GGA-PBE)

Data for an optimized crystal structure of K2NiMo.

Output
* relative energy among the computed polymorphs: 14 meV/atom
* mass density: 3388 kg/m³

abc: 3.2727 3.2727 10.6545
angles: 90.00 90.00 90.00
Closest atoms and distances in Å follow each position.
Fractional coordinates of all 4 atoms:
Mo: 0.0000 0.0000 0.5894  4 Ni 2.49
K: 0.5000 0.5000 0.3228  4 K 3.27, 4 Mo 3.66
K: 0.0000 0.0000 0.9129  4 K 3.27, 4 Ni 3.43, 1 Mo 3.45
Ni: 0.5000 0.5000 0.6749  4 Mo 2.49



## K2NiMo (GGA-PBE)

Data for an optimized crystal structure of K2NiMo.

Output
* relative energy among the computed polymorphs: 586 meV/atom
* mass density: 4614 kg/m³

abc: 5.8598 2.7819 5.1598
angles: 84.96 90.00 90.00
Closest atoms and distances in Å follow each position.
Fractional coordinates of all 4 atoms:
K: 0.0000 0.9644 0.9924  5 K 2.78-2.86
Ni: 0.5000 0.7500 0.7500  2 Ni 2.78, 4 Mo 2.82-3.04
K: 0.0000 0.5356 0.5076  5 K 2.78-2.86
Mo: 0.5000 0.2500 0.2500  2 Mo 2.78, 4 Ni 2.82-3.04